Arrangement A

A plane-wave DFT calculation with GGA-PBE was carried out for a relaxed structure of Sr2Ga2Ir.

V = 241.17 Å³ per cell
Density = 6.98 Mg/m³
Space-group type = P4/mbm, No. 127

Cell: 6.920 6.920 5.037 Å, 90.00 90.00 90.00°
Sites, in units of the cell vectors:
Sr1 0.186 0.686 0.500
Sr2 0.686 0.814 0.500
Sr3 0.814 0.314 0.500
Sr4 0.314 0.186 0.500
Ir1 0.000 0.000 0.000
Ir2 0.500 0.500 0.000
Ga1 0.365 0.865 0.000
Ga2 0.865 0.635 0.000
Ga3 0.635 0.135 0.000
Ga4 0.135 0.365 0.000

=====

Arrangement B

A plane-wave DFT calculation with GGA-PBE was carried out for a relaxed structure of Sr2Ga2Ir.

V = 260.95 Å³ per cell
Density = 6.45 Mg/m³
Space-group type = C2/m, No. 12

Cell: 4.409 6.266 10.355 Å, 89.59 77.71 69.40°
Sites, in units of the cell vectors:
Sr1 0.658 0.347 0.337
Sr2 0.923 0.272 0.882
Sr3 0.342 0.653 0.663
Sr4 0.077 0.728 0.118
Ga1 0.130 0.181 0.558
Ga2 0.623 0.876 0.879
Ga3 0.870 0.819 0.442
Ga4 0.377 0.124 0.121
Ir1 0.630 0.077 0.663
Ir2 0.370 0.923 0.337

=====

Q: Which of them is the most stable? A: arrangement B.

=====

Arrangement A

A plane-wave DFT calculation with GGA-PBE was carried out for a relaxed structure of SrZn2GaIr.

V = 99.46 Å³ per cell
Density = 8.02 Mg/m³
Space-group type = Imm2, No. 44

Cell: 4.201 4.309 6.264 Å, 110.12 109.59 90.00°
Sites, in units of the cell vectors:
Sr1 0.444 0.444 0.887
Zn1 0.692 0.192 0.385
Zn2 0.064 0.064 0.128
Ga1 0.819 0.819 0.638
Ir1 0.193 0.693 0.387

=====

Arrangement B

A plane-wave DFT calculation with GGA-PBE was carried out for a relaxed structure of SrZn2GaIr.

V = 183.29 Å³ per cell
Density = 4.35 Mg/m³
Space-group type = P4/mmm, No. 123

Cell: 5.615 5.813 5.615 Å, 90.00 90.00 90.00°
Last column: magnetic moment on the atom in μB.
Sites, in units of the cell vectors:
Sr1 0.000 0.000 0.000  -0.04
Zn1 0.000 0.000 0.500  -0.01
Zn2 0.500 0.000 0.000  -0.01
Ir1 0.500 0.500 0.500  1.55
Ga1 0.000 0.500 0.000  -0.06

=====

Q: Which of them is the most stable? A: arrangement A.

=====

Arrangement A

A plane-wave DFT calculation with GGA-PBE was carried out for a relaxed structure of TaGaIr3.

V = 111.40 Å³ per cell
Density = 12.33 Mg/m³
Space-group type = Pm-3m, No. 221

Cell: 4.812 4.812 4.812 Å, 90.00 90.00 90.00°
Sites, in units of the cell vectors:
Ir1 0.000 0.500 0.000
Ir2 0.000 0.000 0.500
Ir3 0.500 0.000 0.000
Ga1 0.500 0.500 0.500
Ta1 0.000 0.000 0.000

=====

Arrangement B

A plane-wave DFT calculation with GGA-PBE was carried out for a relaxed structure of TaGaIr3.

V = 89.66 Å³ per cell
Density = 15.32 Mg/m³
Space-group type = Pm-3m, No. 221

Cell: 4.476 4.476 4.476 Å, 90.00 90.00 90.00°
Sites, in units of the cell vectors:
Ir1 0.000 0.500 0.000
Ir2 0.000 0.000 0.500
Ir3 0.500 0.000 0.000
Ga1 0.000 0.000 0.000
Ta1 0.500 0.500 0.500

=====

Q: Which of them is the most stable? A: arrangement B.

=====

Arrangement A

A plane-wave DFT calculation with GGA-PBE was carried out for a relaxed structure of Tb4GaIr.

V = 616.85 Å³ per cell
Density = 9.67 Mg/m³
Space-group type = F-43m, No. 216

Cell: 9.555 9.555 9.555 Å, 60.00 60.00 60.00°
Sites, in units of the cell vectors:
Tb1 0.397 0.397 0.397
Tb2 0.810 0.397 0.397
Tb3 0.397 0.810 0.397
Tb4 0.397 0.397 0.810
Tb5 0.555 0.555 0.945
Tb6 0.945 0.945 0.555
Tb7 0.555 0.945 0.555
Tb8 0.945 0.555 0.945
Tb9 0.945 0.555 0.555
Tb10 0.555 0.945 0.945
Tb11 0.189 0.189 0.811
Tb12 0.811 0.811 0.189
Tb13 0.189 0.811 0.189
Tb14 0.811 0.189 0.811
Tb15 0.811 0.189 0.189
Tb16 0.189 0.811 0.811
Ga1 0.168 0.168 0.168
Ga2 0.496 0.168 0.168
Ga3 0.168 0.496 0.168
Ga4 0.168 0.168 0.496
Ir1 0.608 0.608 0.608
Ir2 0.176 0.608 0.608
Ir3 0.608 0.176 0.608
Ir4 0.608 0.608 0.176

=====

Arrangement B

A plane-wave DFT calculation with GGA-PBE was carried out for a relaxed structure of Tb4GaIr.

V = 345.92 Å³ per cell
Density = 8.62 Mg/m³
Space-group type = P2_1/c, No. 14

Cell: 6.917 6.981 7.168 Å, 90.00 91.97 90.00°
Sites, in units of the cell vectors:
Tb1 0.857 0.655 0.177
Tb2 0.643 0.155 0.823
Tb3 0.328 0.339 0.348
Tb4 0.172 0.839 0.652
Tb5 0.143 0.345 0.823
Tb6 0.357 0.845 0.177
Tb7 0.672 0.661 0.652
Tb8 0.828 0.161 0.348
Ga1 0.000 0.000 0.000
Ga2 0.500 0.500 0.000
Ir1 0.500 0.000 0.500
Ir2 0.000 0.500 0.500

=====

Q: Which of them is the most stable? A: arrangement A.

=====

Arrangement A

A plane-wave DFT calculation with GGA-PBE was carried out for a relaxed structure of TbGa4Ir2.

V = 488.25 Å³ per cell
Density = 11.19 Mg/m³
Space-group type = Pnma, No. 62

Cell: 4.303 6.613 17.158 Å, 90.00 90.00 90.00°
Sites, in units of the cell vectors:
Ir1 0.250 0.758 0.538
Ir2 0.750 0.242 0.462
Ir3 0.750 0.258 0.962
Ir4 0.250 0.742 0.038
Ir5 0.250 0.990 0.786
Ir6 0.750 0.010 0.214
Ir7 0.750 0.490 0.714
Ir8 0.250 0.510 0.286
Tb1 0.750 0.995 0.641
Tb2 0.250 0.005 0.359
Tb3 0.250 0.495 0.859
Tb4 0.750 0.505 0.141
Ga1 0.250 0.286 0.689
Ga2 0.750 0.714 0.311
Ga3 0.750 0.786 0.811
Ga4 0.250 0.214 0.189
Ga5 0.250 0.696 0.687
Ga6 0.750 0.304 0.313
Ga7 0.750 0.196 0.813
Ga8 0.250 0.804 0.187
Ga9 0.250 0.153 0.536
Ga10 0.750 0.847 0.464
Ga11 0.750 0.653 0.964
Ga12 0.250 0.347 0.036
Ga13 0.250 0.488 0.433
Ga14 0.750 0.512 0.567
Ga15 0.750 0.988 0.067
Ga16 0.250 0.012 0.933

=====

Arrangement B

A plane-wave DFT calculation with GGA-PBE was carried out for a relaxed structure of TbGa4Ir2.

V = 246.06 Å³ per cell
Density = 11.10 Mg/m³
Space-group type = P4_2/mnm, No. 136

Cell: 4.406 7.473 7.473 Å, 90.00 90.00 90.00°
Sites, in units of the cell vectors:
Tb1 0.500 0.000 0.000
Tb2 0.000 0.500 0.500
Ga1 0.000 0.092 0.338
Ga2 0.000 0.908 0.662
Ga3 0.500 0.162 0.592
Ga4 0.500 0.838 0.408
Ga5 0.500 0.408 0.838
Ga6 0.500 0.592 0.162
Ga7 0.000 0.338 0.092
Ga8 0.000 0.662 0.908
Ir1 0.000 0.225 0.775
Ir2 0.000 0.775 0.225
Ir3 0.500 0.725 0.725
Ir4 0.500 0.275 0.275

=====

Q: Which of them is the most stable? A: arrangement A.

=====

Arrangement A

A plane-wave DFT calculation with GGA-PBE was carried out for a relaxed structure of TbGa3Ir.

V = 104.87 Å³ per cell
Density = 8.87 Mg/m³
Space-group type = Pmmm, No. 47

Cell: 3.781 4.714 5.884 Å, 90.00 90.00 90.00°
Sites, in units of the cell vectors:
Tb1 0.000 0.500 0.500
Ga1 0.500 0.000 0.286
Ga2 0.500 0.000 0.714
Ga3 0.000 0.500 0.000
Ir1 0.000 0.000 0.000

=====

Arrangement B

A plane-wave DFT calculation with GGA-PBE was carried out for a relaxed structure of TbGa3Ir.

V = 267.74 Å³ per cell
Density = 10.43 Mg/m³
Space-group type = Pm-3m, No. 221

Cell: 6.445 6.445 6.445 Å, 90.00 90.00 90.00°
Sites, in units of the cell vectors:
Tb1 0.000 0.500 0.500
Tb2 0.500 0.000 0.500
Tb3 0.500 0.500 0.000
Ga1 0.500 0.500 0.500
Ga2 0.211 0.211 0.211
Ga3 0.789 0.789 0.211
Ga4 0.789 0.211 0.789
Ga5 0.211 0.789 0.789
Ga6 0.211 0.211 0.789
Ga7 0.789 0.789 0.789
Ga8 0.211 0.789 0.211
Ga9 0.789 0.211 0.211
Ir1 0.500 0.000 0.000
Ir2 0.000 0.500 0.000
Ir3 0.000 0.000 0.500

=====

Q: Which of them is the most stable? A: arrangement B.

=====

Arrangement A

A plane-wave DFT calculation with GGA-PBE was carried out for a relaxed structure of GaTcIr.

V = 108.78 Å³ per cell
Density = 10.99 Mg/m³
Space-group type = C2/m, No. 12

Cell: 4.852 4.852 5.276 Å, 81.47 81.47 114.42°
Sites, in units of the cell vectors:
Ga1 0.733 0.733 0.338
Ga2 0.267 0.267 0.662
Tc1 0.729 0.729 0.831
Tc2 0.271 0.271 0.169
Ir1 0.220 0.780 0.000
Ir2 0.780 0.220 0.000

=====

Arrangement B

A plane-wave DFT calculation with GGA-PBE was carried out for a relaxed structure of GaTcIr.

V = 43.89 Å³ per cell
Density = 13.62 Mg/m³
Space-group type = I4mm, No. 107

Cell: 2.791 2.791 5.971 Å, 103.51 103.51 90.00°
Sites, in units of the cell vectors:
Ir1 0.329 0.329 0.657
Tc1 0.672 0.672 0.343
Ga1 0.000 0.000 0.999

=====

Q: Which of them is the most stable? A: arrangement B.

=====

Arrangement A

A plane-wave DFT calculation with GGA-PBE was carried out for a relaxed structure of Tl2GaTcIr.

V = 131.86 Å³ per cell
Density = 9.68 Mg/m³
Space-group type = P4/mmm, No. 123

Cell: 5.268 4.751 5.268 Å, 90.00 90.00 90.00°
Last column: magnetic moment on the atom in μB.
Sites, in units of the cell vectors:
Tl1 0.000 0.000 0.500  0.00
Tl2 0.500 0.000 0.000  0.02
Ir1 0.000 0.000 0.000  0.09
Tc1 0.500 0.500 0.500  3.39
Ga1 0.000 0.500 0.000  0.02

=====

Arrangement B

A plane-wave DFT calculation with GGA-PBE was carried out for a relaxed structure of Tl2GaTcIr.

V = 133.86 Å³ per cell
Density = 9.54 Mg/m³
Space-group type = P4/mmm, No. 123

Cell: 5.328 4.716 5.328 Å, 90.00 90.00 90.00°
Sites, in units of the cell vectors:
Tl1 0.000 0.000 0.500
Tl2 0.500 0.000 0.000
Ir1 0.000 0.500 0.000
Tc1 0.000 0.000 0.000
Ga1 0.500 0.500 0.500

=====

Q: Which of them is the most stable? A: arrangement B.

=====

Arrangement A

A plane-wave DFT calculation with GGA-PBE was carried out for a relaxed structure of GaTeIr3.

V = 117.53 Å³ per cell
Density = 10.93 Mg/m³
Space-group type = Pm-3m, No. 221

Cell: 4.898 4.898 4.898 Å, 90.00 90.00 90.00°
Last column: magnetic moment on the atom in μB.
Sites, in units of the cell vectors:
Ir1 0.000 0.500 0.000  0.68
Ir2 0.000 0.000 0.500  0.49
Ir3 0.500 0.000 0.000  0.83
Te1 0.000 0.000 0.000  0.01
Ga1 0.500 0.500 0.500  0.10

=====

Arrangement B

A plane-wave DFT calculation with GGA-PBE was carried out for a relaxed structure of GaTeIr3.

V = 97.88 Å³ per cell
Density = 13.13 Mg/m³
Space-group type = Pm-3m, No. 221

Cell: 4.609 4.609 4.609 Å, 90.00 90.00 90.00°
Sites, in units of the cell vectors:
Ir1 0.000 0.500 0.000
Ir2 0.000 0.000 0.500
Ir3 0.500 0.000 0.000
Te1 0.500 0.500 0.500
Ga1 0.000 0.000 0.000

=====

Q: Which of them is the most stable? A: arrangement B.

=====

Arrangement A

A plane-wave DFT calculation with GGA-PBE was carried out for a relaxed structure of ThGa4Ir2.

V = 130.31 Å³ per cell
Density = 11.41 Mg/m³
Space-group type = Cmmm, No. 65

Cell: 4.339 4.271 7.349 Å, 106.89 90.00 90.00°
Sites, in units of the cell vectors:
Th1 0.000 0.000 0.000
Ga1 0.500 0.813 0.625
Ga2 0.000 0.685 0.371
Ga3 0.500 0.187 0.375
Ga4 0.000 0.315 0.629
Ir1 0.500 0.591 0.182
Ir2 0.500 0.409 0.818

=====

Arrangement B

A plane-wave DFT calculation with GGA-PBE was carried out for a relaxed structure of ThGa4Ir2.

V = 503.85 Å³ per cell
Density = 11.80 Mg/m³
Space-group type = Pnma, No. 62

Cell: 4.361 6.626 17.436 Å, 90.00 90.00 90.00°
Sites, in units of the cell vectors:
Ir1 0.250 0.758 0.538
Ir2 0.750 0.242 0.462
Ir3 0.750 0.258 0.962
Ir4 0.250 0.742 0.038
Ir5 0.250 0.980 0.783
Ir6 0.750 0.020 0.217
Ir7 0.750 0.480 0.717
Ir8 0.250 0.520 0.283
Ga1 0.250 0.282 0.689
Ga2 0.750 0.718 0.311
Ga3 0.750 0.782 0.811
Ga4 0.250 0.218 0.189
Ga5 0.250 0.680 0.685
Ga6 0.750 0.320 0.315
Ga7 0.750 0.180 0.815
Ga8 0.250 0.820 0.185
Ga9 0.250 0.165 0.535
Ga10 0.750 0.835 0.465
Ga11 0.750 0.665 0.965
Ga12 0.250 0.335 0.035
Ga13 0.250 0.497 0.430
Ga14 0.750 0.503 0.570
Ga15 0.750 0.997 0.070
Ga16 0.250 0.003 0.930
Th1 0.750 0.990 0.640
Th2 0.250 0.010 0.360
Th3 0.250 0.490 0.860
Th4 0.750 0.510 0.140

=====

Q: Which of them is the most stable? A: arrangement B.